1.
The following is a PBE calculation of a relaxed Tb3TeC crystal, from Alexandria via LeMat-Bulk.

Cell lengths 6.3056, 9.2532, 9.2532 Å; angles 93.91, 100.77, 100.77 degrees
Last column: magnetic moment on the atom in μB.
Element x y z (fractional)
Tb  0.5363  0.4210  0.7372  0.04
Tb  0.9637  0.2628  0.5790  0.04
Tb  0.4167  0.0590  0.6529  0.09
Tb  0.0548  0.9991  0.1972  0.16
Tb  0.5548  0.1972  0.9991  0.16
Tb  0.0363  0.7372  0.4210  0.04
Tb  0.9167  0.6529  0.0590  0.09
Tb  0.9452  0.0009  0.8028  0.16
Tb  0.4637  0.5790  0.2628  0.04
Tb  0.5833  0.9410  0.3471  0.09
Tb  0.4452  0.8028  0.0009  0.16
Tb  0.0833  0.3471  0.9410  0.09
C  0.7500  0.2166  0.7834  0.00
C  0.7500  0.7838  0.2162  0.00
C  0.2500  0.7834  0.2166  0.00
C  0.2500  0.2162  0.7838  0.00
Te  0.9441  0.4029  0.2594  0.00
Te  0.5559  0.7406  0.5971  0.00
Te  0.0559  0.5971  0.7406  0.00
Te  0.4441  0.2594  0.4029  0.00

Output
* distance to the lowest polymorph of the same formula: 0 meV per atom
* energy relative to the elements, uncorrected: -584 meV/atom


2.
The following is a PBE calculation of a relaxed Tb3Te2C crystal, from Alexandria via LeMat-Bulk.

Cell lengths 3.8807, 5.8665, 7.5307 Å; angles 112.92, 104.93, 90.00 degrees
Element x y z (fractional)
Tb  0.3785  0.3785  0.7571
Tb  0.6215  0.6215  0.2429
Tb  0.0000  0.0000  0.0000
C  0.0000  0.5000  0.0000
Te  0.6794  0.1794  0.3588
Te  0.3206  0.8206  0.6412

Output
* distance to the lowest polymorph of the same formula: 9 meV per atom
* energy relative to the elements, uncorrected: -972 meV/atom


3.
The following is a PBE calculation of a relaxed TbUTe2C crystal, from Alexandria via LeMat-Bulk.

Cell lengths 4.0593, 4.0593, 15.9934 Å; angles 90.00, 90.00, 90.00 degrees
Last column: magnetic moment on the atom in μB.
Element x y z (fractional)
U  0.0000  0.5000  0.4312  0.84
U  0.5000  0.0000  0.5688  0.84
C  0.5000  0.5000  0.5000  -0.06
C  0.0000  0.0000  0.5000  -0.06
Tb  0.5000  0.0000  0.1377  0.01
Tb  0.0000  0.5000  0.8623  0.01
Te  0.5000  0.0000  0.3236  -0.04
Te  0.5000  0.0000  0.9182  0.00
Te  0.0000  0.5000  0.6764  -0.04
Te  0.0000  0.5000  0.0818  0.00

Output
* energy relative to the elements, uncorrected: -758 meV/atom


4.
The following is a PBE calculation of a relaxed TbTh5C3 crystal, from Alexandria via LeMat-Bulk.

Cell lengths 7.2418, 7.2418, 9.6295 Å; angles 100.02, 112.89, 104.56 degrees
Element x y z (fractional)
C  0.0000  0.0000  0.0000
C  0.5000  0.0000  0.5000
C  0.4991  0.6680  0.1671
C  0.9971  0.6662  0.6633
C  0.5009  0.3320  0.8329
C  0.0029  0.3338  0.3367
Th  0.2910  0.2910  0.0000
Th  0.7965  0.2357  0.0322
Th  0.2924  0.6272  0.3344
Th  0.2035  0.7643  0.9678
Th  0.2928  0.9581  0.6656
Th  0.7090  0.7090  0.0000
Th  0.7917  0.5685  0.3602
Th  0.2083  0.4315  0.6398
Th  0.7072  0.0419  0.3344
Th  0.7076  0.3728  0.6656
Tb  0.7935  0.9019  0.6954
Tb  0.2065  0.0981  0.3046

Output
* formation energy: -161 meV/atom


5.
The following is a PBE calculation of a relaxed TbTh2C2 crystal, from Alexandria via LeMat-Bulk.

Cell lengths 5.3497, 6.4632, 7.4033 Å; angles 108.24, 90.00, 114.45 degrees
Element x y z (fractional)
C  0.8406  0.6812  0.4210
C  0.4964  0.9927  0.7468
C  0.5036  0.0073  0.2532
C  0.1594  0.3188  0.5790
Th  0.6657  0.3314  0.5819
Th  0.3343  0.6686  0.4181
Th  0.9939  0.9879  0.2570
Th  0.0061  0.0121  0.7430
Tb  0.3429  0.6857  0.9079
Tb  0.6571  0.3143  0.0921

Output
* distance to the lowest polymorph of the same formula: 37 meV per atom
* formation energy: -245 meV/atom


6.
The following is a PBE calculation of a relaxed TbTh2C2 crystal, from Alexandria via LeMat-Bulk.

Cell lengths 3.6509, 3.6509, 9.3914 Å; angles 78.79, 78.79, 60.00 degrees
Last column: magnetic moment on the atom in μB.
Element x y z (fractional)
Th  0.7722  0.7722  0.6835  0.13
Th  0.2278  0.2278  0.3165  0.13
Tb  0.0000  0.0000  0.0000  0.01
C  0.6087  0.6087  0.1740  0.00
C  0.3913  0.3913  0.8260  0.00

Output
* distance to the lowest polymorph of the same formula: 0 meV per atom
* formation energy: -282 meV/atom


7.
The following is a PBE calculation of a relaxed Tb2Th5C5 crystal, from Alexandria via LeMat-Bulk.

Cell lengths 3.6915, 6.3840, 11.2763 Å; angles 71.90, 80.58, 73.19 degrees
Element x y z (fractional)
Th  0.6562  0.7408  0.9468
Th  0.3438  0.2592  0.0532
Th  0.2583  0.1270  0.3564
Th  0.5000  0.5000  0.5000
Th  0.7417  0.8730  0.6436
C  0.3255  0.5305  0.8186
C  0.8713  0.8258  0.4316
C  0.0000  0.0000  0.0000
C  0.1287  0.1742  0.5684
C  0.6745  0.4695  0.1814
Tb  0.9708  0.2736  0.7847
Tb  0.0292  0.7264  0.2153

Output
* formation energy: -129 meV/atom


8.
The following is a PBE calculation of a relaxed TbThC crystal, from Alexandria via LeMat-Bulk.

Cell lengths 3.6255, 3.6255, 6.6665 Å; angles 74.25, 74.25, 60.03 degrees
Last column: magnetic moment on the atom in μB.
Element x y z (fractional)
C  0.3594  0.3594  0.0714  0.01
Th  0.6168  0.6168  0.2994  0.12
Tb  0.0975  0.0975  0.8564  0.15

Output
* distance to the lowest polymorph of the same formula: 0 meV per atom
* formation energy: -242 meV/atom


9.
The following is a PBE calculation of a relaxed TbThC2 crystal, from Alexandria via LeMat-Bulk.

Cell lengths 3.7157, 3.7157, 6.3674 Å; angles 73.04, 73.04, 60.00 degrees
Element x y z (fractional)
C  0.2512  0.2512  0.2463
C  0.7488  0.7488  0.7537
Th  0.0000  0.0000  0.0000
Tb  0.5000  0.5000  0.5000

Output
* distance to the lowest polymorph of the same formula: 0 meV per atom
* formation energy: -110 meV/atom


10.
The following is a PBE calculation of a relaxed Tb2ThC2 crystal, from Alexandria via LeMat-Bulk.

Cell lengths 3.6786, 3.6786, 9.8102 Å; angles 79.19, 79.19, 60.00 degrees
Element x y z (fractional)
Th  0.0000  0.0000  0.0000
C  0.6089  0.6089  0.1732
C  0.3911  0.3911  0.8268
Tb  0.7677  0.7677  0.6970
Tb  0.2323  0.2323  0.3030

Output
* formation energy: -261 meV/atom


11.
The following is a PBE calculation of a relaxed TbThC crystal, from Alexandria via LeMat-Bulk.

Cell lengths 6.4245, 3.6100, 3.6100 Å; angles 120.00, 90.00, 90.00 degrees
Element x y z (fractional)
Tb  0.7836  0.6667  0.3333
Th  0.2197  0.3333  0.6667
C  0.9967  0.0000  0.0000

Output
* distance to the lowest polymorph of the same formula: 18 meV per atom
* formation energy: -224 meV/atom


12.
The following is a PBE calculation of a relaxed TbThC2 crystal, from Alexandria via LeMat-Bulk.

Cell lengths 3.6315, 3.6333, 6.3116 Å; angles 90.22, 90.01, 119.98 degrees
Element x y z (fractional)
Th  0.0000  0.5000  0.5000
C  0.3334  0.1667  0.2582
C  0.6666  0.8333  0.7418
Tb  0.0000  0.5000  0.0000

Output
* distance to the lowest polymorph of the same formula: 290 meV per atom
* formation energy: 180 meV/atom


no.,uncorrected energy (eV per cell),volume (Å³/cell)
1,-116.700,518.1
2,-35.229,151.6
3,-70.435,263.5
4,-141.694,428.9
5,-78.290,218.8
6,-39.328,105.6
7,-94.028,241.0
8,-22.000,72.1
9,-30.937,71.7
10,-36.432,112.2
11,-21.947,72.5
12,-29.776,72.1